(1)
{
  "formula": "MgTaTi2Ge",
  "functional": "PBE",
  "state": "relaxed",
  "n_ef_per_ev_atom": 1.2157,
  "density_g_cm3": 5.18,
  "spacegroup": "No. 123",
  "e_tot_ev_per_atom": -5.68,
  "formation_energy_ev_per_atom": 1.095,
  "lattice_angstrom": [[4.7496, 0.0000, 0.0000], [0.0000, 5.3050, 0.0000], [0.0000, 0.0000, 4.7496]],
  "species": ["Ge", "Ti", "Ti", "Mg", "Ta"],
  "fractional_positions": [[0.5000, 0.5000, 0.5000], [0.0000, 0.0000, 0.5000], [0.5000, 0.0000, 0.0000], [0.0000, 0.5000, 0.0000], [0.0000, 0.0000, 0.0000]]
}

---

(2)
{
  "formula": "CaTlFe",
  "functional": "PBE",
  "state": "relaxed",
  "n_ef_per_ev_atom": 2.6231,
  "density_g_cm3": 5.75,
  "spacegroup": "No. 216",
  "e_tot_ev_per_atom": -3.39,
  "formation_energy_ev_per_atom": 0.884,
  "lattice_angstrom": [[-1.5264, 2.9964, 3.6576], [-4.7346, -0.1251, 1.5014], [-1.1465, -1.8941, 4.4479]],
  "species": ["Tl", "Ca", "Fe"],
  "fractional_positions": [[0.5000, 0.5000, 0.5000], [0.2500, 0.2500, 0.2500], [0.0000, 0.0000, 0.0000]]
}

---

(3)
{
  "formula": "La2SmZnSe5",
  "functional": "PBE",
  "state": "relaxed",
  "n_ef_per_ev_atom": 0.1491,
  "density_g_cm3": 6.33,
  "spacegroup": "No. 36",
  "e_tot_ev_per_atom": -5.38,
  "raw_formation_energy_ev_per_fu": -15.17,
  "lattice_angstrom": [[4.1087, 0.0000, 0.0000], [-2.0543, 8.8977, 0.0000], [0.0000, 0.0000, 12.7427]],
  "species": ["La", "La", "La", "La", "Sm", "Sm", "Zn", "Zn", "Se", "Se", "Se", "Se", "Se", "Se", "Se", "Se", "Se", "Se"],
  "fractional_positions": [[0.8779, 0.7558, 0.8398], [0.1202, 0.2405, 0.6910], [0.1221, 0.2442, 0.3398], [0.8798, 0.7595, 0.1910], [0.8127, 0.6255, 0.5257], [0.1873, 0.3745, 0.0257], [0.5500, 0.0999, 0.9267], [0.4500, 0.9001, 0.4267], [0.3497, 0.6994, 0.0156], [0.6862, 0.3724, 0.8583], [0.4940, 0.9881, 0.7538], [0.3005, 0.6010, 0.6879], [0.9779, 0.9558, 0.5251], [0.6503, 0.3006, 0.5156], [0.3138, 0.6276, 0.3583], [0.5060, 0.0119, 0.2538], [0.6995, 0.3990, 0.1880], [0.0221, 0.0442, 0.0251]]
}

---

(4)
{
  "formula": "PmEr2Tm4Sc",
  "functional": "PBE",
  "state": "relaxed",
  "n_ef_per_ev_atom": 2.2053,
  "density_g_cm3": 7.94,
  "spacegroup": "No. 74",
  "e_tot_ev_per_atom": -4.31,
  "formation_energy_ev_per_atom": 0.453,
  "lattice_angstrom": [[-5.7811, 2.8256, -6.7495], [-0.4232, -8.6329, -3.5006], [0.1223, 3.1963, 11.0715]],
  "species": ["Pm", "Pm", "Er", "Er", "Er", "Er", "Tm", "Tm", "Tm", "Tm", "Tm", "Tm", "Tm", "Tm", "Sc", "Sc"],
  "fractional_positions": [[0.0000, 0.5000, 0.0000], [0.0000, 0.5000, 0.5000], [0.5000, 0.0000, 0.0000], [0.5000, 0.0000, 0.5000], [0.0000, 0.0000, 0.5000], [0.5000, 0.5000, 0.0000], [0.2421, 0.7600, 0.0010], [0.7400, 0.2579, 0.4990], [0.2600, 0.7421, 0.5010], [0.7579, 0.2400, 0.9990], [0.7483, 0.7512, 0.9892], [0.7488, 0.7517, 0.5108], [0.2512, 0.2483, 0.4892], [0.2517, 0.2488, 0.0108], [0.5000, 0.5000, 0.5000], [0.0000, 0.0000, 0.0000]]
}

---

(5)
{
  "formula": "KBa2SnTe4",
  "functional": "PBE",
  "state": "relaxed",
  "n_ef_per_ev_atom": 1.2271,
  "density_g_cm3": 4.84,
  "spacegroup": "No. 74",
  "e_tot_ev_per_atom": -3.74,
  "raw_formation_energy_ev_per_fu": -8.37,
  "lattice_angstrom": [[9.6981, 0.0321, -0.0929], [0.0253, 9.6981, -0.0929], [-4.8663, -4.8697, 6.9712]],
  "species": ["K", "K", "Ba", "Ba", "Ba", "Ba", "Sn", "Sn", "Te", "Te", "Te", "Te", "Te", "Te", "Te", "Te"],
  "fractional_positions": [[0.0000, 0.5000, 0.0000], [0.0000, 0.5000, 0.5000], [0.5000, 0.0000, 0.0000], [0.5000, 0.0000, 0.5000], [0.0000, 0.0000, 0.5000], [0.5000, 0.5000, 0.0000], [0.5000, 0.5000, 0.5000], [0.0000, 0.0000, 0.0000], [0.2361, 0.7660, 0.0011], [0.7340, 0.2639, 0.4989], [0.2660, 0.7361, 0.5011], [0.7639, 0.2340, 0.9989], [0.7506, 0.7494, 0.9790], [0.7506, 0.7494, 0.5210], [0.2494, 0.2506, 0.4790], [0.2494, 0.2506, 0.0210]]
}

---

(6)
{
  "formula": "DyHo2PuTl4",
  "functional": "PBE",
  "state": "relaxed",
  "n_ef_per_ev_atom": 1.6700,
  "density_g_cm3": 11.77,
  "spacegroup": "No. 166",
  "e_tot_ev_per_atom": -4.93,
  "formation_energy_ev_per_atom": -0.234,
  "lattice_angstrom": [[-1.8518, -3.0122, 4.0448], [-1.6245, -5.0365, -0.9265], [6.9697, -5.5910, 2.5951]],
  "species": ["Dy", "Ho", "Ho", "Pu", "Tl", "Tl", "Tl", "Tl"],
  "fractional_positions": [[0.0000, 0.0000, 0.0000], [0.7520, 0.7520, 0.7441], [0.2480, 0.2480, 0.2559], [0.5000, 0.5000, 0.5000], [0.3734, 0.3734, 0.8799], [0.8767, 0.8767, 0.3698], [0.1233, 0.1233, 0.6302], [0.6266, 0.6266, 0.1201]]
}

---

Question: Which formula does entry 3 have?
Answer: La2SmZnSe5